Entry 1:
Computed, not measured: an optimized crystal structure of Rb2Ta2P at the PBE level of DFT.

Energy above the lowest structure with this stoichiometry (meV per atom): 0.0
Space-group type: P4/mbm (127)
Calculated total energy (Ha/atom): -0.204
D(E_F) (states/eV/cell): 7.10

Geometry as extended XYZ:
```
10
Lattice="-5.9851 2.0992 -1.4285 0.2989 -3.0496 -5.7340 -2.5698 -5.4466 2.7628" Properties=species:S:1:pos:R:3 pbc="T T T"
Ta -1.8122 -1.8527 -5.3380
Ta -4.8616 -0.2237 -4.9628
Ta -3.8739 0.9023 -1.8245
Ta -0.8246 -0.7267 -2.1996
Rb -2.2027 -4.4265 -2.8300
Rb -3.0979 -2.6401 -0.1410
Rb -5.1580 -3.7569 -4.2587
Rb -6.0532 -1.9705 -1.5697
P 0.0000 0.0000 0.0000
P -2.8431 -0.4752 -3.5812
```

***

Entry 2:
Computed, not measured: an optimized crystal structure of RbTa3P at the PBE level of DFT.

Energy above the lowest structure with this stoichiometry (meV per atom): 2249.5
Space-group type: Pm-3m (221)
Calculated total energy (Ha/atom): -0.185
D(E_F) (states/eV/cell): 4.80

Geometry as extended XYZ:
```
5
Lattice="4.8019 0.0000 0.0000 0.0000 4.8019 0.0000 0.0000 0.0000 4.8019" Properties=species:S:1:pos:R:3 pbc="T T T"
Rb 0.0000 0.0000 0.0000
Ta 0.0000 2.4009 0.0000
Ta 2.4009 0.0000 0.0000
Ta 0.0000 0.0000 2.4009
P 2.4009 2.4009 2.4009
```

***

Entry 3:
Computed, not measured: an optimized crystal structure of Rb2Ta2P at the PBE level of DFT.

Energy above the lowest structure with this stoichiometry (meV per atom): 1008.6
Space-group type: I4/mmm (139)
Calculated total energy (Ha/atom): -0.167
D(E_F) (states/eV/cell): 3.43

Geometry as extended XYZ:
```
5
Lattice="-0.9383 0.7218 3.7773 -2.4878 -3.0788 -0.0296 4.6537 -6.3477 4.4431" Properties=species:S:1:pos:R:3 pbc="T T T"
Ta -0.8638 -1.8680 2.2165
Ta 2.0914 -6.8367 5.9742
Rb 0.2264 -5.3025 3.1437
Rb 1.0012 -3.4022 5.0471
P 0.0000 0.0000 0.0000
```

***

Entry 4:
Computed, not measured: an optimized crystal structure of Rb6TaP4 at the PBE level of DFT.

Space-group type: P6_3mc (186)
Calculated total energy (Ha/atom): -0.146
D(E_F) (states/eV/cell): 23.29

Geometry as extended XYZ:
```
22
Lattice="8.4546 0.0000 0.0000 0.0000 9.1596 -5.2883 0.0000 0.0000 10.5766" Properties=species:S:1:pos:R:3 pbc="T T T"
P 7.0557 1.9013 3.2931
P 2.8283 7.2583 1.9952
P 8.1278 6.1064 0.0000
P 7.0557 1.9013 7.2835
P 2.8283 3.8025 0.0000
P 3.9005 3.0532 5.2883
P 2.8283 7.2583 -1.9952
P 7.0557 5.3570 5.2883
Rb 8.0786 7.8292 2.9841
Rb 8.0786 7.8292 -2.9840
Rb 5.3980 8.5443 0.0000
Rb 1.1707 4.2722 7.3996
Rb 8.0786 2.6607 0.0000
Rb 5.3980 4.8874 2.1113
Rb 5.3980 4.8874 -2.1113
Rb 3.8513 1.3304 2.3042
Rb 1.1707 0.6153 5.2883
Rb 3.8513 1.3304 8.2723
Rb 3.8513 6.4989 5.2883
Rb 1.1707 4.2722 3.1770
Ta 6.3021 3.0532 5.2883
Ta 2.0747 6.1064 0.0000
```

***

Entry 5:
Computed, not measured: an optimized crystal structure of Rb3TaP at the PBE level of DFT.

Energy above the lowest structure with this stoichiometry (meV per atom): 0.0
Space-group type: Pm-3m (221)
Calculated total energy (Ha/atom): -0.100
D(E_F) (states/eV/cell): 10.05

Geometry as extended XYZ:
```
5
Lattice="-0.2142 5.4172 3.6211 -6.0209 -1.5499 1.9624 2.4915 -3.2797 5.0538" Properties=species:S:1:pos:R:3 pbc="T T T"
P 0.0000 0.0000 0.0000
Rb -3.0105 -0.7749 0.9812
Rb 1.2457 -1.6398 2.5269
Rb -0.1071 2.7086 1.8106
Ta -1.8718 0.2939 5.3187
```

***

Entry 6:
Computed, not measured: an optimized crystal structure of RbTaP3 at the PBE level of DFT.

Energy above the lowest structure with this stoichiometry (meV per atom): 2711.0
Space-group type: Pm-3m (221)
Calculated total energy (Ha/atom): -0.117
D(E_F) (states/eV/cell): 7.04

Geometry as extended XYZ:
```
5
Lattice="4.9256 0.0000 0.0000 0.0000 4.9256 0.0000 0.0000 0.0000 4.9256" Properties=species:S:1:pos:R:3 pbc="T T T"
Ta 2.4628 2.4628 2.4628
P 2.4628 0.0000 0.0000
P 0.0000 0.0000 2.4628
P 0.0000 2.4628 0.0000
Rb 0.0000 0.0000 0.0000
```

***

Entry 7:
Computed, not measured: an optimized crystal structure of Rb2TaP at the PBE level of DFT.

Space-group type: I-42d (122)
Calculated total energy (Ha/atom): -0.156
D(E_F) (states/eV/cell): 7.88

Geometry as extended XYZ:
```
8
Lattice="13.3735 0.0000 0.0000 0.0000 13.3735 0.0000 6.6868 6.6868 2.4082" Properties=species:S:1:pos:R:3 pbc="T T T"
Ta 13.3735 6.6868 1.2041
Ta 0.0000 0.0000 0.0000
Rb 16.7169 13.9408 1.8062
Rb 6.1195 10.0301 0.6021
Rb 10.0301 12.8062 1.8062
Rb 7.2541 3.3434 0.6021
P 6.6868 13.3735 1.2041
P 6.6868 6.6868 0.0000
```

***

Entry 8:
Computed, not measured: an optimized crystal structure of RbTaP3 at the PBE level of DFT.

Energy above the lowest structure with this stoichiometry (meV per atom): 0.0
Space-group type: Pm-3m (221)
Calculated total energy (Ha/atom): -0.216
D(E_F) (states/eV/cell): 2.29

Geometry as extended XYZ:
```
5
Lattice="-1.1279 -1.1969 -4.6439 2.4768 -4.2305 0.4888 -4.1066 -2.2229 1.5703" Properties=species:S:1:pos:R:3 pbc="T T T"
P -2.0533 -1.1114 0.7851
P -0.5639 -0.5984 -2.3220
P 1.2384 -2.1153 0.2444
Ta 0.0000 0.0000 0.0000
Rb -1.3788 -3.8251 -1.2924
```